First-principles (GGA-PBE) data for crystalline HgBiPt2 at its relaxed geometry, as listed in Alexandria.

Results
V   21.53 Å³/atom
Formation energy from the elements   0.139 eV/atom
Total magnetization   0.00 μB per formula unit
Symmetry   No. 122
Electronic total energy   -3.93 eV/atom

Structure (CIF):
```
data_HgBiPt2
_space_group_name_H-M_alt 'P 1'
_space_group_IT_number 1
_space_group_name_Hall 'P 1'
_cell_length_a 7.663
_cell_length_b 7.663
_cell_length_c 6.162
_cell_angle_alpha 51.55
_cell_angle_beta 51.55
_cell_angle_gamma 90.00
loop_
_atom_site_label
_atom_site_type_symbol
_atom_site_fract_x
_atom_site_fract_y
_atom_site_fract_z
Pt1 Pt 0.875 0.875 0.750
Bi1 Bi 0.750 0.250 0.500
Pt2 Pt 0.625 0.125 0.250
Hg1 Hg 0.250 0.750 0.500
Hg2 Hg 0.500 0.500 0.000
Pt3 Pt 0.375 0.375 0.750
Pt4 Pt 0.125 0.625 0.250
Bi2 Bi 0.000 0.000 0.000
```

First-principles (GGA-PBE) data for crystalline TcNiIr2 at its relaxed geometry, as listed in Alexandria.

Results
V   13.71 Å³/atom
Formation energy from the elements   -0.027 eV/atom
Total magnetization   0.00 μB per formula unit
Energy above the lowest structure with this stoichiometry   9.2 kJ/mol of atoms
Symmetry   No. 119
Electronic total energy   -8.49 eV/atom

Structure (CIF):
```
data_TcNiIr2
_space_group_name_H-M_alt 'P 1'
_space_group_IT_number 1
_space_group_name_Hall 'P 1'
_cell_length_a 4.707
_cell_length_b 4.707
_cell_length_c 4.707
_cell_angle_alpha 132.96
_cell_angle_beta 132.96
_cell_angle_gamma 68.72
loop_
_atom_site_label
_atom_site_type_symbol
_atom_site_fract_x
_atom_site_fract_y
_atom_site_fract_z
Ni1 Ni 0.500 0.500 0.000
Tc1 Tc 0.750 0.250 0.500
Ir1 Ir 0.000 0.000 0.000
Ir2 Ir 0.250 0.750 0.500
```

First-principles (GGA-PBE) data for crystalline Mg3RhSe at its relaxed geometry, as listed in Alexandria.

Results
V   22.99 Å³/atom
Total magnetization   0.00 μB per formula unit
Energy above the lowest structure with this stoichiometry   31.8 kJ/mol of atoms
Symmetry   No. 221
Electronic total energy   -2.91 eV/atom

Structure (CIF):
```
data_Mg3RhSe
_space_group_name_H-M_alt 'P 1'
_space_group_IT_number 1
_space_group_name_Hall 'P 1'
_cell_length_a 4.862
_cell_length_b 4.862
_cell_length_c 4.862
_cell_angle_alpha 90.00
_cell_angle_beta 90.00
_cell_angle_gamma 90.00
loop_
_atom_site_label
_atom_site_type_symbol
_atom_site_fract_x
_atom_site_fract_y
_atom_site_fract_z
Mg1 Mg 0.000 0.500 0.000
Se1 Se 0.000 0.000 0.000
Mg2 Mg 0.000 0.000 0.500
Rh1 Rh 0.500 0.500 0.500
Mg3 Mg 0.500 0.000 0.000
```

First-principles (GGA-PBE) data for crystalline TbPm14Cd at its relaxed geometry, as listed in Alexandria.

Results
V   33.18 Å³/atom
Formation energy from the elements   -0.011 eV/atom
Total magnetization   0.00 μB per formula unit
Symmetry   No. 38
Electronic total energy   -4.51 eV/atom

Structure (CIF):
```
data_TbPm14Cd
_space_group_name_H-M_alt 'P 1'
_space_group_IT_number 1
_space_group_name_Hall 'P 1'
_cell_length_a 7.197
_cell_length_b 7.197
_cell_length_c 10.250
_cell_angle_alpha 90.00
_cell_angle_beta 90.00
_cell_angle_gamma 90.01
loop_
_atom_site_label
_atom_site_type_symbol
_atom_site_fract_x
_atom_site_fract_y
_atom_site_fract_z
Pm1 Pm 0.875 0.626 0.000
Pm2 Pm 0.875 0.624 0.500
Pm3 Pm 0.124 0.374 0.754
Pm4 Pm 0.376 0.125 0.500
Tb1 Tb 0.375 0.625 0.000
Pm5 Pm 0.124 0.374 0.246
Pm6 Pm 0.124 0.876 0.754
Pm7 Pm 0.626 0.374 0.755
Pm8 Pm 0.124 0.876 0.246
Cd1 Cd 0.875 0.125 0.000
Pm9 Pm 0.626 0.876 0.754
Pm10 Pm 0.626 0.876 0.246
Pm11 Pm 0.875 0.125 0.500
Pm12 Pm 0.374 0.125 0.000
Pm13 Pm 0.626 0.374 0.245
Pm14 Pm 0.375 0.625 0.500
```

First-principles (GGA-PBE) data for crystalline TmThAl2 at its relaxed geometry, as listed in Alexandria.

Results
V   24.48 Å³/atom
Formation energy from the elements   -0.275 eV/atom
Total magnetization   0.00 μB per formula unit
Energy above the lowest structure with this stoichiometry   3.5 kJ/mol of atoms
Symmetry   No. 123
Electronic total energy   -5.12 eV/atom

Structure (CIF):
```
data_TmThAl2
_space_group_name_H-M_alt 'P 1'
_space_group_IT_number 1
_space_group_name_Hall 'P 1'
_cell_length_a 4.207
_cell_length_b 4.824
_cell_length_c 4.824
_cell_angle_alpha 90.00
_cell_angle_beta 90.00
_cell_angle_gamma 90.00
loop_
_atom_site_label
_atom_site_type_symbol
_atom_site_fract_x
_atom_site_fract_y
_atom_site_fract_z
Al1 Al 0.000 0.000 0.500
Al2 Al 0.000 0.500 0.000
Th1 Th 0.500 0.500 0.500
Tm1 Tm 0.500 0.000 0.000
```

First-principles (GGA-PBE) data for crystalline ErScU at its relaxed geometry, as listed in Alexandria.

Results
V   26.15 Å³/atom
Formation energy from the elements   0.188 eV/atom
Total magnetization   1.04 μB per formula unit
Energy above the lowest structure with this stoichiometry   0.0 kJ/mol of atoms
Symmetry   No. 12
Electronic total energy   -7.21 eV/atom

Structure (CIF):
```
data_ErScU
_space_group_name_H-M_alt 'P 1'
_space_group_IT_number 1
_space_group_name_Hall 'P 1'
_cell_length_a 3.603
_cell_length_b 5.484
_cell_length_c 8.151
_cell_angle_alpha 92.64
_cell_angle_beta 102.77
_cell_angle_gamma 90.00
loop_
_atom_site_label
_atom_site_type_symbol
_atom_site_fract_x
_atom_site_fract_y
_atom_site_fract_z
U1 U 0.757 0.161 0.513
Er1 Er 0.095 0.332 0.189
Sc1 Sc 0.581 0.829 0.162
Sc2 Sc 0.419 0.171 0.838
U2 U 0.243 0.839 0.487
Er2 Er 0.905 0.668 0.811
```

First-principles (GGA-PBE) data for crystalline Ce3V2N7 at its relaxed geometry, as listed in Alexandria.

Results
V   12.07 Å³/atom
Total magnetization   0.42 μB per formula unit
Symmetry   No. 65
Electronic total energy   -8.86 eV/atom

Structure (CIF):
```
data_Ce3V2N7
_space_group_name_H-M_alt 'P 1'
_space_group_IT_number 1
_space_group_name_Hall 'P 1'
_cell_length_a 3.680
_cell_length_b 3.873
_cell_length_c 10.346
_cell_angle_alpha 100.79
_cell_angle_beta 90.00
_cell_angle_gamma 90.00
loop_
_atom_site_label
_atom_site_type_symbol
_atom_site_fract_x
_atom_site_fract_y
_atom_site_fract_z
N1 N 0.000 0.799 0.598
V1 V 0.000 0.096 0.192
Ce1 Ce 0.500 0.680 0.359
Ce2 Ce 0.500 0.500 0.000
N2 N 0.000 0.406 0.812
N3 N 0.000 0.000 0.000
Ce3 Ce 0.500 0.320 0.641
N4 N 0.500 0.106 0.212
N5 N 0.500 0.894 0.788
N6 N 0.000 0.594 0.188
V2 V 0.000 0.904 0.808
N7 N 0.000 0.201 0.402
```

First-principles (GGA-PBE) data for crystalline LiTb2SnS5 at its relaxed geometry, as listed in Alexandria.

Results
V   20.95 Å³/atom
Total magnetization   0.00 μB per formula unit
Symmetry   No. 36
Electronic total energy   -5.34 eV/atom

Structure (CIF):
```
data_LiTb2SnS5
_space_group_name_H-M_alt 'P 1'
_space_group_IT_number 1
_space_group_name_Hall 'P 1'
_cell_length_a 3.881
_cell_length_b 8.754
_cell_length_c 11.380
_cell_angle_alpha 90.00
_cell_angle_beta 90.00
_cell_angle_gamma 102.81
loop_
_atom_site_label
_atom_site_type_symbol
_atom_site_fract_x
_atom_site_fract_y
_atom_site_fract_z
S1 S 0.304 0.608 0.655
S2 S 0.296 0.592 0.328
Tb1 Tb 0.123 0.247 0.301
S3 S 0.364 0.727 0.995
S4 S 0.027 0.053 0.097
Li1 Li 0.773 0.545 0.500
Li2 Li 0.227 0.455 0.000
Tb2 Tb 0.871 0.741 0.180
S5 S 0.704 0.408 0.828
S6 S 0.489 0.978 0.286
Tb3 Tb 0.877 0.753 0.801
S7 S 0.973 0.947 0.597
Sn1 Sn 0.416 0.833 0.482
S8 S 0.636 0.273 0.495
S9 S 0.696 0.392 0.155
Sn2 Sn 0.584 0.167 0.982
Tb4 Tb 0.129 0.259 0.680
S10 S 0.511 0.022 0.786
```